{"formula": "TaSeIN2", "functional": "PBE-GGA", "state": "relaxed", "formation_energy_uncorrected_ev_per_atom": 2.12, "lattice_angstrom": [[4.0331, 0.0000, 0.0000], [0.0000, 4.0331, 0.0000], [0.0000, 0.0000, 5.4036]], "species": ["I", "N", "N", "Se", "Ta"], "fractional_positions": [[0.0000, 0.0000, 0.0000], [0.0000, 0.5000, 0.0000], [0.5000, 0.0000, 0.0000], [0.0000, 0.0000, 0.5000], [0.5000, 0.5000, 0.5000]]}